Record 1
Compound: Ac3AlZn2Ge6
Source: the Alexandria database
Functional: PBE
Structure: optimized geometry

Calculated values
Mass density: 7.06 g/cm3
Calculated formation energy: -4.07 eV/f.u.
Crystal system: trigonal
Final energy: -50.4 eV/cell

a b c (Å): 6.2291 6.2291 8.9275
angles (deg): 90.00 90.00 120.00
Fractional positions:
Ac 0.3333 0.6667 0.6267
Ac 0.6667 0.3333 0.3733
Ac 0.0000 0.0000 0.0000
Al 0.0000 0.0000 0.5000
Zn 0.6667 0.3333 0.9850
Zn 0.3333 0.6667 0.0150
Ge 0.6150 0.8075 0.2848
Ge 0.1925 0.3850 0.2848
Ge 0.1925 0.8075 0.2848
Ge 0.8075 0.6150 0.7152
Ge 0.3850 0.1925 0.7152
Ge 0.8075 0.1925 0.7152

=====

Record 2
Compound: Ac2AlZnGe
Source: the Alexandria database
Functional: PBE
Structure: optimized geometry

Calculated values
Mass density: 6.92 g/cm3
Calculated formation energy: -2.10 eV/f.u.
Crystal system: monoclinic
Final energy: -39.9 eV/cell

a b c (Å): 4.6155 7.9985 8.0491
angles (deg): 91.54 90.00 90.00
Fractional positions:
Ac 0.7500 0.7818 0.4910
Ac 0.7500 0.7659 0.0103
Ac 0.2500 0.2182 0.5090
Ac 0.2500 0.2341 0.9897
Al 0.2500 0.5817 0.7308
Al 0.7500 0.4183 0.2692
Zn 0.2500 0.5700 0.2720
Zn 0.7500 0.4300 0.7280
Ge 0.2500 0.8967 0.7581
Ge 0.7500 0.1033 0.2419

=====

Record 3
Compound: Ac2AlZn3Ge4
Source: the Alexandria database
Functional: PBE
Structure: optimized geometry

Calculated values
Mass density: 7.43 g/cm3
Calculated formation energy: -4.10 eV/f.u.
Crystal system: tetragonal
Final energy: -38.4 eV/cell

a b c (Å): 4.6675 4.6675 9.9251
angles (deg): 90.00 90.00 90.00
Fractional positions:
Ac 0.5000 0.0000 0.2450
Ac 0.0000 0.5000 0.7550
Al 0.5000 0.5000 0.5000
Zn 0.0000 0.0000 0.5000
Zn 0.5000 0.0000 0.8787
Zn 0.0000 0.5000 0.1213
Ge 0.5000 0.5000 0.0000
Ge 0.0000 0.0000 0.0000
Ge 0.5000 0.0000 0.6244
Ge 0.0000 0.5000 0.3756

=====

Record 4
Compound: Ac2Al3ZnGe4
Source: the Alexandria database
Functional: PBE
Structure: optimized geometry

Calculated values
Mass density: 6.63 g/cm3
Calculated formation energy: -3.72 eV/f.u.
Crystal system: tetragonal
Final energy: -42.9 eV/cell

a b c (Å): 4.8315 4.8315 9.5531
angles (deg): 90.00 90.00 90.00
Fractional positions:
Ac 0.5000 0.0000 0.2482
Ac 0.0000 0.5000 0.7518
Al 0.0000 0.0000 0.5000
Al 0.5000 0.0000 0.8885
Al 0.0000 0.5000 0.1115
Zn 0.5000 0.5000 0.5000
Ge 0.5000 0.5000 0.0000
Ge 0.0000 0.0000 0.0000
Ge 0.5000 0.0000 0.6204
Ge 0.0000 0.5000 0.3796